Computed, not measured: Dy2Y6Tm5 after structural relaxation at the PBE level of DFT.

It has space group Pbam (No. 55), with a = 11.6145 Å, b = 20.0632 Å, c = 3.5621 Å, α = 90.00°, β = 90.00° and γ = 90.00°. The asymmetric unit holds Dy at (0.1636, 0.2102, 0.0000), Y at (0.0570, 0.9188, 0.0000), Y at (0.0866, 0.6309, 0.0000), Y at (0.1721, 0.3666, 0.5000), Tm at (0.0000, 0.5000, 0.5000), Tm at (0.0931, 0.7730, 0.5000) and Tm at (0.1984, 0.0492, 0.5000).

Its formation energy is 10 kJ/mol of atoms. The density is 6.8 g/cm3. Its total energy is -5.31 eV/atom.